Entry 1:
Here is an optimized crystal structure of Pm9Pr4In11 from Alexandria. Energies are from PBE.

Properties
Size of the total moment   0.0 μB/f.u.
Space group   Cmmm
ΔH_f (0 K)   -10.11 eV/f.u.
Total energy   -0.1563 hartree per atom

a b c (Å): 14.448 14.448 3.600
angles (deg): 90.00 90.00 111.20
Positions (direct):
Pm 0.000 0.000 0.000
Pm 0.111 0.665 0.000
Pm 0.297 0.490 0.000
Pm 0.335 0.889 0.000
Pm 0.490 0.297 0.000
Pm 0.510 0.703 0.000
Pm 0.665 0.111 0.000
Pm 0.703 0.510 0.000
Pm 0.889 0.335 0.000
Pr 0.093 0.257 0.000
Pr 0.257 0.093 0.000
Pr 0.743 0.907 0.000
Pr 0.907 0.743 0.000
In 0.091 0.460 0.500
In 0.121 0.879 0.500
In 0.299 0.299 0.500
In 0.312 0.688 0.500
In 0.460 0.091 0.500
In 0.500 0.500 0.500
In 0.540 0.909 0.500
In 0.688 0.312 0.500
In 0.701 0.701 0.500
In 0.879 0.121 0.500
In 0.909 0.540 0.500

Entry 2:
Here is an optimized crystal structure of PmPrIn from Alexandria. Energies are from PBE.

Properties
Size of the total moment   0.0 μB/f.u.
Space group   I4mm
ΔH_f (0 K)   -0.86 eV/f.u.
Total energy   -0.1608 hartree per atom
ΔE to the lowest computed polymorph   1.1 kJ/mol of formula units

a b c (Å): 7.539 7.539 7.539
angles (deg): 151.86 151.86 40.22
Positions (direct):
Pm 0.000 0.000 0.000
Pr 0.694 0.694 0.000
In 0.350 0.350 0.000

Entry 3:
Here is an optimized crystal structure of Pm8Pr5In from Alexandria. Energies are from PBE.

Properties
Size of the total moment   0.0 μB/f.u.
Space group   I-4
ΔH_f (0 K)   2.29 eV/f.u.
Total energy   -0.1637 hartree per atom

a b c (Å): 8.610 8.610 8.610
angles (deg): 109.43 109.43 109.54
Positions (direct):
Pm 0.162 0.446 0.104
Pm 0.343 0.059 0.896
Pm 0.410 0.139 0.399
Pm 0.554 0.657 0.716
Pm 0.740 0.011 0.601
Pm 0.861 0.260 0.271
Pm 0.941 0.838 0.284
Pm 0.989 0.590 0.729
Pr 0.000 0.000 0.000
Pr 0.201 0.310 0.691
Pr 0.490 0.799 0.109
Pr 0.619 0.510 0.309
Pr 0.690 0.381 0.891
In 0.250 0.750 0.500

Entry 4:
Here is an optimized crystal structure of Pm4Pr7In from Alexandria. Energies are from PBE.

Properties
Size of the total moment   0.0 μB/f.u.
Space group   C2/m
ΔH_f (0 K)   1.41 eV/f.u.
Total energy   -0.1647 hartree per atom
ΔE to the lowest computed polymorph   144.4 kJ/mol of formula units

a b c (Å): 8.968 8.968 9.459
angles (deg): 115.66 115.66 39.85
Positions (direct):
Pm 0.079 0.079 0.193
Pm 0.180 0.180 0.900
Pm 0.820 0.820 0.100
Pm 0.921 0.921 0.807
Pr 0.000 0.000 0.500
Pr 0.288 0.288 0.631
Pr 0.296 0.296 0.288
Pr 0.427 0.427 0.090
Pr 0.573 0.573 0.910
Pr 0.704 0.704 0.712
Pr 0.712 0.712 0.369
In 0.500 0.500 0.500

Entry 5:
Here is an optimized crystal structure of Pm2PrIn4 from Alexandria. Energies are from PBE.

Properties
Size of the total moment   0.0 μB/f.u.
Space group   I4/mmm
ΔH_f (0 K)   -2.14 eV/f.u.
Total energy   -0.1437 hartree per atom

a b c (Å): 8.417 8.417 8.417
angles (deg): 142.68 142.68 53.81
Positions (direct):
Pm 0.245 0.245 0.000
Pm 0.755 0.755 0.000
Pr 0.500 0.500 0.000
In 0.117 0.617 0.500
In 0.383 0.883 0.500
In 0.617 0.117 0.500
In 0.883 0.383 0.500

Entry 6:
Here is an optimized crystal structure of Pm2PrIn from Alexandria. Energies are from PBE.

Properties
Size of the total moment   0.0 μB/f.u.
Space group   R-3m
ΔH_f (0 K)   0.13 eV/f.u.
Total energy   -0.1551 hartree per atom
ΔE to the lowest computed polymorph   118.4 kJ/mol of formula units

a b c (Å): 12.279 12.279 12.279
angles (deg): 16.68 16.68 16.68
Positions (direct):
Pm 0.096 0.096 0.096
Pm 0.904 0.904 0.904
Pr 0.000 0.000 0.000
In 0.500 0.500 0.500